one) DFT (PBE) results for an optimized crystal structure of YMgN2F.

Structure (CIF):
```
data_YMgN2F
_chemical_formula_sum 'Y1 Mg1 N2 F1'
_cell_length_a 3.980
_cell_length_b 3.980
_cell_length_c 3.836
_cell_angle_alpha 90.00
_cell_angle_beta 90.00
_cell_angle_gamma 90.00
_symmetry_space_group_name_H-M 'P 4/m m m'
_symmetry_Int_Tables_number 123
_symmetry_space_group_name_Hall '-P 4 2'
loop_
_atom_site_label
_atom_site_fract_x
_atom_site_fract_y
_atom_site_fract_z
Y1 0.000 0.000 0.000
Mg1 0.500 0.500 0.500
N1 0.000 0.500 0.500
F1 0.500 0.500 0.000
```

calculated density = 4.4 Mg/m³
volume = 12.2 A^3/atom


two) DFT (PBE) results for an optimized crystal structure of YMgN2F.

Structure (CIF):
```
data_YMgN2F
_chemical_formula_sum 'Y1 Mg1 N2 F1'
_cell_length_a 4.411
_cell_length_b 4.411
_cell_length_c 4.276
_cell_angle_alpha 90.00
_cell_angle_beta 90.00
_cell_angle_gamma 90.00
_symmetry_space_group_name_H-M 'P 4/m m m'
_symmetry_Int_Tables_number 123
_symmetry_space_group_name_Hall '-P 4 2'
loop_
_atom_site_label
_atom_site_fract_x
_atom_site_fract_y
_atom_site_fract_z
Y1 0.000 0.000 0.000
Mg1 0.500 0.500 0.500
N1 0.000 0.500 0.000
F1 0.000 0.000 0.500
```

calculated density = 3.2 Mg/m³
volume = 16.6 A^3/atom


In terms of stability, one) leads; the second structure lies 489 meV/atom higher.


one) DFT (PBE) results for an optimized crystal structure of Na2MgF4.

Structure (CIF):
```
data_Na2MgF4
_chemical_formula_sum 'Na4 Mg2 F8'
_cell_length_a 3.916
_cell_length_b 3.916
_cell_length_c 11.914
_cell_angle_alpha 90.00
_cell_angle_beta 90.00
_cell_angle_gamma 90.00
_symmetry_space_group_name_H-M 'I 4/m m m'
_symmetry_Int_Tables_number 139
_symmetry_space_group_name_Hall '-I 4 2'
loop_
_atom_site_label
_atom_site_fract_x
_atom_site_fract_y
_atom_site_fract_z
Na1 0.000 0.000 0.148
Mg1 0.000 0.000 0.500
F1 0.000 0.000 0.333
F2 0.000 0.500 0.000
```

calculated density = 2.7 Mg/m³
volume = 13.1 A^3/atom


two) DFT (PBE) results for an optimized crystal structure of Na2MgF4.

Structure (CIF):
```
data_Na2MgF4
_chemical_formula_sum 'Na4 Mg2 F8'
_cell_length_a 5.591
_cell_length_b 9.804
_cell_length_c 3.155
_cell_angle_alpha 90.00
_cell_angle_beta 90.00
_cell_angle_gamma 90.00
_symmetry_space_group_name_H-M 'P b a m'
_symmetry_Int_Tables_number 55
loop_
_symmetry_equiv_pos_as_xyz
'x,y,z'
'-x,-y,-z'
'-x,-y,z'
'x,y,-z'
'x+1/2,-y+1/2,-z'
'-x+1/2,y+1/2,z'
'-x+1/2,y+1/2,-z'
'x+1/2,-y+1/2,z'
loop_
_atom_site_label
_atom_site_fract_x
_atom_site_fract_y
_atom_site_fract_z
Na1 0.064 0.181 0.000
Mg1 0.000 0.500 0.500
F1 0.134 0.687 0.500
F2 0.225 0.455 0.000
```

calculated density = 2.8 Mg/m³
volume = 12.4 A^3/atom


In terms of stability, two) leads; the second structure lies 38 meV/atom higher.


one) DFT (PBE) results for an optimized crystal structure of Na2MgF2.

Structure (CIF):
```
data_Na2MgF2
_chemical_formula_sum 'Na4 Mg2 F4'
_cell_length_a 7.734
_cell_length_b 7.734
_cell_length_c 3.011
_cell_angle_alpha 90.00
_cell_angle_beta 90.00
_cell_angle_gamma 90.00
_symmetry_space_group_name_H-M 'P 4/m b m'
_symmetry_Int_Tables_number 127
_symmetry_space_group_name_Hall '-P 4 2ab'
loop_
_atom_site_label
_atom_site_fract_x
_atom_site_fract_y
_atom_site_fract_z
Na1 0.117 0.383 0.000
Mg1 0.000 0.000 0.000
F1 0.125 0.625 0.500
```

calculated density = 2.0 Mg/m³
volume = 18.0 A^3/atom


two) DFT (PBE) results for an optimized crystal structure of Na2MgF2.

Structure (CIF):
```
data_Na2MgF2
_chemical_formula_sum 'Na4 Mg2 F4'
_cell_length_a 6.786
_cell_length_b 6.786
_cell_length_c 3.359
_cell_angle_alpha 90.00
_cell_angle_beta 90.00
_cell_angle_gamma 90.00
_symmetry_space_group_name_H-M 'P 4/m b m'
_symmetry_Int_Tables_number 127
_symmetry_space_group_name_Hall '-P 4 2ab'
loop_
_atom_site_label
_atom_site_fract_x
_atom_site_fract_y
_atom_site_fract_z
Na1 0.150 0.350 0.000
Mg1 0.000 0.000 0.500
F1 0.158 0.658 0.500
```

calculated density = 2.3 Mg/m³
volume = 15.5 A^3/atom


three) DFT (PBE) results for an optimized crystal structure of Na2MgF2.

Structure (CIF):
```
data_Na2MgF2
_chemical_formula_sum 'Na4 Mg2 F4'
_cell_length_a 4.433
_cell_length_b 4.433
_cell_length_c 10.748
_cell_angle_alpha 90.00
_cell_angle_beta 90.00
_cell_angle_gamma 90.00
_symmetry_space_group_name_H-M 'I 4/m m m'
_symmetry_Int_Tables_number 139
_symmetry_space_group_name_Hall '-I 4 2'
loop_
_atom_site_label
_atom_site_fract_x
_atom_site_fract_y
_atom_site_fract_z
Na1 0.000 0.500 0.250
Mg1 0.000 0.000 0.000
F1 0.000 0.000 0.189
```

calculated density = 1.7 Mg/m³
volume = 21.1 A^3/atom


four) DFT (PBE) results for an optimized crystal structure of Na2MgF2.

Structure (CIF):
```
data_Na2MgF2
_chemical_formula_sum 'Na4 Mg2 F4'
_cell_length_a 4.330
_cell_length_b 4.330
_cell_length_c 12.227
_cell_angle_alpha 90.00
_cell_angle_beta 90.00
_cell_angle_gamma 90.00
_symmetry_space_group_name_H-M 'I 4/m m m'
_symmetry_Int_Tables_number 139
_symmetry_space_group_name_Hall '-I 4 2'
loop_
_atom_site_label
_atom_site_fract_x
_atom_site_fract_y
_atom_site_fract_z
Na1 0.000 0.000 0.206
Mg1 0.000 0.000 0.500
F1 0.000 0.500 0.250
```

calculated density = 1.6 Mg/m³
volume = 22.9 A^3/atom


In terms of stability, three) leads; the second structure lies 127 meV/atom higher.


one) DFT (PBE) results for an optimized crystal structure of NaMg2F.

Structure (CIF):
```
data_NaMg2F
_chemical_formula_sum 'Na4 Mg8 F4'
_cell_length_a 7.152
_cell_length_b 7.152
_cell_length_c 7.152
_cell_angle_alpha 90.00
_cell_angle_beta 90.00
_cell_angle_gamma 90.00
_symmetry_space_group_name_H-M 'F m -3 m'
_symmetry_Int_Tables_number 225
_symmetry_space_group_name_Hall '-F 4 2 3'
loop_
_atom_site_label
_atom_site_fract_x
_atom_site_fract_y
_atom_site_fract_z
Na1 0.000 0.000 0.000
Mg1 0.250 0.250 0.250
F1 0.000 0.000 0.500
```

calculated density = 1.6 Mg/m³
volume = 22.9 A^3/atom


two) DFT (PBE) results for an optimized crystal structure of NaMg2F.

Structure (CIF):
```
data_NaMg2F
_chemical_formula_sum 'Na4 Mg8 F4'
_cell_length_a 6.842
_cell_length_b 6.842
_cell_length_c 8.313
_cell_angle_alpha 90.00
_cell_angle_beta 90.00
_cell_angle_gamma 90.00
_symmetry_space_group_name_H-M 'I -4 2 d'
_symmetry_Int_Tables_number 122
_symmetry_space_group_name_Hall 'I -4 2bw'
loop_
_atom_site_label
_atom_site_fract_x
_atom_site_fract_y
_atom_site_fract_z
Na1 0.000 0.000 0.000
Mg1 0.108 0.250 0.625
F1 0.000 0.000 0.500
```

calculated density = 1.5 Mg/m³
volume = 24.3 A^3/atom


In terms of stability, two) leads; the second structure lies 485 meV/atom higher.


one) DFT (PBE) results for an optimized crystal structure of MgNb3F.

Structure (CIF):
```
data_MgNb3F
_chemical_formula_sum 'Mg1 Nb3 F1'
_cell_length_a 4.379
_cell_length_b 4.379
_cell_length_c 4.379
_cell_angle_alpha 90.00
_cell_angle_beta 90.00
_cell_angle_gamma 90.00
_symmetry_space_group_name_H-M 'P m -3 m'
_symmetry_Int_Tables_number 221
_symmetry_space_group_name_Hall '-P 4 2 3'
loop_
_atom_site_label
_atom_site_fract_x
_atom_site_fract_y
_atom_site_fract_z
Mg1 0.000 0.000 0.000
Nb1 0.000 0.500 0.500
F1 0.500 0.500 0.500
```

calculated density = 6.4 Mg/m³
volume = 16.8 A^3/atom


two) DFT (PBE) results for an optimized crystal structure of MgNb3F.

Structure (CIF):
```
data_MgNb3F
_chemical_formula_sum 'Mg1 Nb3 F1'
_cell_length_a 4.816
_cell_length_b 4.816
_cell_length_c 4.816
_cell_angle_alpha 90.00
_cell_angle_beta 90.00
_cell_angle_gamma 90.00
_symmetry_space_group_name_H-M 'P m -3 m'
_symmetry_Int_Tables_number 221
_symmetry_space_group_name_Hall '-P 4 2 3'
loop_
_atom_site_label
_atom_site_fract_x
_atom_site_fract_y
_atom_site_fract_z
Mg1 0.000 0.000 0.000
Nb1 0.000 0.000 0.500
F1 0.500 0.500 0.500
```

calculated density = 4.8 Mg/m³
volume = 22.3 A^3/atom


In terms of stability, one) leads; the second structure lies 1809 meV/atom higher.


one) DFT (PBE) results for an optimized crystal structure of MgNbF.

Structure (CIF):
```
data_MgNbF
_chemical_formula_sum 'Mg2 Nb2 F2'
_cell_length_a 3.557
_cell_length_b 3.557
_cell_length_c 7.517
_cell_angle_alpha 90.00
_cell_angle_beta 90.00
_cell_angle_gamma 90.00
_symmetry_space_group_name_H-M 'P 4/n m m'
_symmetry_Int_Tables_number 129
loop_
_symmetry_equiv_pos_as_xyz
'x,y,z'
'-x,-y,-z'
'-y+1/2,x,z'
'y+1/2,-x,-z'
'-x+1/2,-y+1/2,z'
'x+1/2,y+1/2,-z'
'y,-x+1/2,z'
'-y,x+1/2,-z'
'x+1/2,-y,-z'
'-x+1/2,y,z'
'-y,-x,-z'
'y,x,z'
'-x,y+1/2,-z'
'x,-y+1/2,z'
'y+1/2,x+1/2,-z'
'-y+1/2,-x+1/2,z'
loop_
_atom_site_label
_atom_site_fract_x
_atom_site_fract_y
_atom_site_fract_z
Mg1 0.250 0.250 0.158
Nb1 0.250 0.250 0.564
F1 0.250 0.750 0.000
```

calculated density = 4.8 Mg/m³
volume = 15.9 A^3/atom


two) DFT (PBE) results for an optimized crystal structure of MgNbF.

Structure (CIF):
```
data_MgNbF
_chemical_formula_sum 'Mg4 Nb4 F4'
_cell_length_a 5.757
_cell_length_b 12.052
_cell_length_c 2.991
_cell_angle_alpha 90.00
_cell_angle_beta 111.69
_cell_angle_gamma 90.00
_symmetry_space_group_name_H-M 'C 1 2 1'
_symmetry_Int_Tables_number 5
loop_
_symmetry_equiv_pos_as_xyz
'x,y,z'
'-x,y,-z'
'x+1/2,y+1/2,z'
'-x+1/2,y+1/2,-z'
loop_
_atom_site_label
_atom_site_fract_x
_atom_site_fract_y
_atom_site_fract_z
Mg1 0.000 0.000 0.000
Mg2 0.000 0.433 0.000
Nb1 0.206 0.760 0.317
F1 0.236 0.068 0.687
```

calculated density = 4.7 Mg/m³
volume = 16.1 A^3/atom


In terms of stability, one) leads; the second structure lies 263 meV/atom higher.